Record 1
Crystalline Mo3RhC at its relaxed geometry. Source: Alexandria via LeMat-Bulk, functional GGA-PBE.

Lattice parameters (Å, degrees): 4.123 4.123 4.123 90.00 90.00 90.00
Space group Pm-3m (No. 221)
Inequivalent atoms, fractional coordinates:
1 Mo 0.000 0.000 0.500 x3
2 Rh 0.500 0.500 0.500 x1
3 C 0.000 0.000 0.000 x1

Energy above the lowest structure with this stoichiometry = 0 meV/atom
Total DFT energy (no corrections) = -9.767 eV per atom
E_form = 0.23 eV/f.u.
Crystal system = cubic

---

Record 2
Crystalline Mo2RhC2 at its relaxed geometry. Source: Alexandria via LeMat-Bulk, functional GGA-PBE.

Lattice parameters (Å, degrees): 6.504 6.504 2.774 90.00 90.00 90.00
Space group P4/mbm (No. 127)
Inequivalent atoms, fractional coordinates:
1 Mo 0.140 0.360 0.000 x4
2 Rh 0.000 0.000 0.000 x2
3 C 0.135 0.635 0.500 x4

Energy above the lowest structure with this stoichiometry = 282 meV/atom
Total DFT energy (no corrections) = -8.614 eV per atom
E_form = 4.39 eV/f.u.
Crystal system = tetragonal

---

Record 3
Crystalline Mo7Rh2C2 at its relaxed geometry. Source: Alexandria via LeMat-Bulk, functional GGA-PBE.

Lattice parameters (Å, degrees): 2.868 13.891 7.574 90.00 90.00 90.00
Space group Imm2 (No. 44)
Inequivalent atoms, fractional coordinates:
1 Mo 0.000 0.000 0.000 x2
2 Mo 0.000 0.152 0.538 x4
3 Mo 0.000 0.330 0.357 x4
4 Mo 0.000 0.341 0.714 x4
5 Rh 0.000 0.000 0.342 x2
6 Rh 0.000 0.500 0.173 x2
7 C 0.000 0.233 0.051 x4

Total DFT energy (no corrections) = -9.839 eV per atom
E_form = 0.74 eV/f.u.
Crystal system = orthorhombic